Entry 1:
# BaHfRu2Br (PBE-GGA, optimized geometry)
data_BaHfRu2Br
_chemical_formula_sum 'Ba1 Hf1 Ru2 Br1'
_cell_length_a 5.007
_cell_length_b 5.007
_cell_length_c 5.645
_cell_angle_alpha 90.00
_cell_angle_beta 90.00
_cell_angle_gamma 90.00
_symmetry_space_group_name_H-M 'P 4/m m m'
_symmetry_Int_Tables_number 123
_symmetry_space_group_name_Hall '-P 4 2'
loop_
_atom_site_label
_atom_site_fract_x
_atom_site_fract_y
_atom_site_fract_z
Ba1 0.000 0.000 0.000
Hf1 0.500 0.500 0.500
Ru1 0.000 0.500 0.000
Br1 0.000 0.000 0.500
# Energy ... -4.4737 eV/atom



Entry 2:
# Ba2HfSBr (PBE-GGA, optimized geometry)
data_Ba2HfSBr
_chemical_formula_sum 'Ba2 Hf1 S1 Br1'
_cell_length_a 6.212
_cell_length_b 6.212
_cell_length_c 5.334
_cell_angle_alpha 90.00
_cell_angle_beta 90.00
_cell_angle_gamma 90.00
_symmetry_space_group_name_H-M 'P 4/m m m'
_symmetry_Int_Tables_number 123
_symmetry_space_group_name_Hall '-P 4 2'
loop_
_atom_site_label
_atom_site_fract_x
_atom_site_fract_y
_atom_site_fract_z
Ba1 0.000 0.500 0.000
Hf1 0.000 0.000 0.500
S1 0.500 0.500 0.500
Br1 0.500 0.500 0.000
# Energy ... -3.6563 eV/atom



Entry 3:
# BaHfTc2Br (PBE-GGA, optimized geometry)
data_BaHfTc2Br
_chemical_formula_sum 'Ba1 Hf1 Tc2 Br1'
_cell_length_a 4.933
_cell_length_b 4.933
_cell_length_c 5.782
_cell_angle_alpha 90.00
_cell_angle_beta 90.00
_cell_angle_gamma 90.00
_symmetry_space_group_name_H-M 'P 4/m m m'
_symmetry_Int_Tables_number 123
_symmetry_space_group_name_Hall '-P 4 2'
loop_
_atom_site_label
_atom_site_fract_x
_atom_site_fract_y
_atom_site_fract_z
Ba1 0.000 0.000 0.000
Hf1 0.500 0.500 0.500
Tc1 0.000 0.500 0.500
Br1 0.500 0.500 0.000
# Energy ... -6.1718 eV/atom



Entry 4:
# BaHfTl2Br8 (PBE-GGA, optimized geometry)
data_BaHfTl2Br8
_chemical_formula_sum 'Ba1 Hf1 Tl2 Br8'
_cell_length_a 7.256
_cell_length_b 7.529
_cell_length_c 9.208
_cell_angle_alpha 89.96
_cell_angle_beta 89.92
_cell_angle_gamma 88.78
_symmetry_space_group_name_H-M 'P -1'
_symmetry_Int_Tables_number 2
_symmetry_space_group_name_Hall '-P 1'
loop_
_atom_site_label
_atom_site_fract_x
_atom_site_fract_y
_atom_site_fract_z
Ba1 0.000 0.000 0.000
Hf1 0.000 0.000 0.500
Tl1 0.500 0.500 0.258
Br1 0.182 0.701 0.500
Br2 0.223 0.123 0.296
Br3 0.223 0.123 0.703
Br4 0.269 0.661 0.000
# Energy ... -3.8969 eV/atom



Entry 5:
# BaHfVBr2 (PBE-GGA, optimized geometry)
data_BaHfVBr2
_chemical_formula_sum 'Ba1 Hf1 V1 Br2'
_cell_length_a 4.997
_cell_length_b 4.997
_cell_length_c 6.262
_cell_angle_alpha 90.00
_cell_angle_beta 90.00
_cell_angle_gamma 90.00
_symmetry_space_group_name_H-M 'P 4/m m m'
_symmetry_Int_Tables_number 123
_symmetry_space_group_name_Hall '-P 4 2'
loop_
_atom_site_label
_atom_site_fract_x
_atom_site_fract_y
_atom_site_fract_z
Ba1 0.000 0.000 0.000
Hf1 0.500 0.500 0.000
V1 0.000 0.000 0.500
Br1 0.000 0.500 0.500
# Energy ... -4.0851 eV/atom



Entry 6:
# BaHgBr2 (PBE-GGA, optimized geometry)
data_BaHgBr2
_chemical_formula_sum 'Ba3 Hg3 Br6'
_cell_length_a 4.9502
_cell_length_b 4.9502
_cell_length_c 34.3539
_cell_angle_alpha 90.00
_cell_angle_beta 90.00
_cell_angle_gamma 120.00
_symmetry_space_group_name_H-M 'R -3 m'
_symmetry_Int_Tables_number 166
_symmetry_space_group_name_Hall '-R 3 2"'
loop_
_atom_site_label
_atom_site_fract_x
_atom_site_fract_y
_atom_site_fract_z
Ba1 0.0000 0.0000 0.0000
Hg1 0.0000 0.0000 0.5000
Br1 0.0000 0.0000 0.3789
# Excess energy over the best structure of this formula in the dataset ... 0.003 eV per atom



Entry 7:
# BaHgBr3 (PBE-GGA, optimized geometry)
data_BaHgBr3
_chemical_formula_sum 'Ba1 Hg1 Br3'
_cell_length_a 5.744
_cell_length_b 5.744
_cell_length_c 5.744
_cell_angle_alpha 90.00
_cell_angle_beta 90.00
_cell_angle_gamma 90.00
_symmetry_space_group_name_H-M 'P m -3 m'
_symmetry_Int_Tables_number 221
_symmetry_space_group_name_Hall '-P 4 2 3'
loop_
_atom_site_label
_atom_site_fract_x
_atom_site_fract_y
_atom_site_fract_z
Ba1 0.000 0.000 0.000
Hg1 0.500 0.500 0.500
Br1 0.000 0.500 0.500
# Energy ... -2.4966 eV/atom



Entry 8:
# BaHgBr2 (PBE-GGA, optimized geometry)
data_BaHgBr2
_chemical_formula_sum 'Ba4 Hg4 Br8'
_cell_length_a 8.120
_cell_length_b 8.120
_cell_length_c 8.120
_cell_angle_alpha 90.00
_cell_angle_beta 90.00
_cell_angle_gamma 90.00
_symmetry_space_group_name_H-M 'F m -3 m'
_symmetry_Int_Tables_number 225
_symmetry_space_group_name_Hall '-F 4 2 3'
loop_
_atom_site_label
_atom_site_fract_x
_atom_site_fract_y
_atom_site_fract_z
Ba1 0.000 0.000 0.000
Hg1 0.000 0.000 0.500
Br1 0.250 0.250 0.250
# Excess energy over the best structure of this formula in the dataset ... 0.049 eV per atom



Entry 9:
# BaHgBr2 (PBE-GGA, optimized geometry)
data_BaHgBr2
_chemical_formula_sum 'Ba4 Hg4 Br8'
_cell_length_a 8.099
_cell_length_b 8.099
_cell_length_c 8.099
_cell_angle_alpha 90.00
_cell_angle_beta 90.00
_cell_angle_gamma 90.00
_symmetry_space_group_name_H-M 'F -4 3 m'
_symmetry_Int_Tables_number 216
_symmetry_space_group_name_Hall 'F -4 2 3'
loop_
_atom_site_label
_atom_site_fract_x
_atom_site_fract_y
_atom_site_fract_z
Ba1 0.000 0.000 0.000
Hg1 0.250 0.250 0.250
Br1 0.000 0.000 0.500
Br2 0.250 0.250 0.750
# Excess energy over the best structure of this formula in the dataset ... 0.270 eV per atom



Entry 10:
# BaHgBr (PBE-GGA, optimized geometry)
data_BaHgBr
_chemical_formula_sum 'Ba2 Hg2 Br2'
_cell_length_a 4.938
_cell_length_b 5.604
_cell_length_c 8.545
_cell_angle_alpha 90.00
_cell_angle_beta 106.79
_cell_angle_gamma 90.00
_symmetry_space_group_name_H-M 'P 1 21/m 1'
_symmetry_Int_Tables_number 11
_symmetry_space_group_name_Hall '-P 2yb'
loop_
_atom_site_label
_atom_site_fract_x
_atom_site_fract_y
_atom_site_fract_z
Ba1 0.130 0.250 0.259
Hg1 0.464 0.250 0.927
Br1 0.237 0.750 0.474
# Excess energy over the best structure of this formula in the dataset ... 0.022 eV per atom



Entry 11:
# BaHgBr (PBE-GGA, optimized geometry)
data_BaHgBr
_chemical_formula_sum 'Ba2 Hg2 Br2'
_cell_length_a 4.351
_cell_length_b 4.394
_cell_length_c 10.817
_cell_angle_alpha 90.00
_cell_angle_beta 96.06
_cell_angle_gamma 90.00
_symmetry_space_group_name_H-M 'P 1 21/m 1'
_symmetry_Int_Tables_number 11
_symmetry_space_group_name_Hall '-P 2yb'
loop_
_atom_site_label
_atom_site_fract_x
_atom_site_fract_y
_atom_site_fract_z
Ba1 0.192 0.250 0.268
Hg1 0.294 0.250 0.938
Br1 0.276 0.250 0.603
# Excess energy over the best structure of this formula in the dataset ... 0.024 eV per atom



Entry 12:
# BaHgBr (PBE-GGA, optimized geometry)
data_BaHgBr
_chemical_formula_sum 'Ba4 Hg4 Br4'
_cell_length_a 13.339
_cell_length_b 4.972
_cell_length_c 8.596
_cell_angle_alpha 90.00
_cell_angle_beta 90.00
_cell_angle_gamma 90.00
_symmetry_space_group_name_H-M 'A m m 2'
_symmetry_Int_Tables_number 38
_symmetry_space_group_name_Hall 'A 2 -2'
loop_
_atom_site_label
_atom_site_fract_x
_atom_site_fract_y
_atom_site_fract_z
Ba1 0.163 0.000 0.000
Hg1 0.000 0.000 0.334
Hg2 0.500 0.000 0.999
Br1 0.278 0.000 0.334
# Excess energy over the best structure of this formula in the dataset ... 0.150 eV per atom



Entry 13:
# BaHgBr (PBE-GGA, optimized geometry)
data_BaHgBr
_chemical_formula_sum 'Ba4 Hg4 Br4'
_cell_length_a 7.807
_cell_length_b 7.807
_cell_length_c 7.807
_cell_angle_alpha 90.00
_cell_angle_beta 90.00
_cell_angle_gamma 90.00
_symmetry_space_group_name_H-M 'F -4 3 m'
_symmetry_Int_Tables_number 216
_symmetry_space_group_name_Hall 'F -4 2 3'
loop_
_atom_site_label
_atom_site_fract_x
_atom_site_fract_y
_atom_site_fract_z
Ba1 0.000 0.000 0.000
Hg1 0.000 0.000 0.500
Br1 0.250 0.250 0.250
# Excess energy over the best structure of this formula in the dataset ... 0.246 eV per atom